The following is a DFT calculation (PBE-GGA) of a relaxed Pm3Zn2Pt7 crystal.

## Properties
Magnetization ... 0.00 μB per cell
Final energy ... -70.509 eV for the cell shown
E_form ... -0.952 eV per atom

Unit cell a=9.119 b=9.119 c=9.119 alpha=35.30 beta=35.30 gamma=35.30
Fractional positions:
Pm 0.000 0.000 0.000
Pm 0.139 0.139 0.139
Pm 0.861 0.861 0.861
Zn 0.334 0.334 0.334
Zn 0.666 0.666 0.666
Pt 0.078 0.582 0.582
Pt 0.418 0.418 0.922
Pt 0.418 0.922 0.418
Pt 0.500 0.500 0.500
Pt 0.582 0.078 0.582
Pt 0.582 0.582 0.078
Pt 0.922 0.418 0.418



The following is a DFT calculation (PBE-GGA) of a relaxed HfSnN2 crystal.

## Properties
Magnetization ... 0.00 μB per cell
Final energy ... -65.297 eV for the cell shown
Formation energy (no corrections) ... -2.0 eV per formula unit

Unit cell a=6.230 b=6.230 c=6.230 alpha=128.58 beta=128.58 gamma=75.68
Fractional positions:
Hf 0.000 0.000 0.000
Hf 0.750 0.250 0.500
Sn 0.250 0.750 0.500
Sn 0.500 0.500 0.000
N 0.052 0.625 0.927
N 0.375 0.302 0.427
N 0.698 0.125 0.073
N 0.875 0.948 0.573



The following is a DFT calculation (PBE-GGA) of a relaxed KPt2Se crystal.

## Properties
Magnetization ... 0.00 μB per cell
Final energy ... -16.773 eV for the cell shown
Formation energy (no corrections) ... -0.1 eV per formula unit

Unit cell a=2.797 b=4.635 c=7.328 alpha=90.00 beta=90.00 gamma=90.00
Fractional positions:
K 0.000 0.000 0.000
Pt 0.000 0.000 0.417
Pt 0.500 0.500 0.440
Se 0.500 0.500 0.770



The following is a DFT calculation (PBE-GGA) of a relaxed TiInCl6 crystal.

## Properties
Magnetization ... 0.00 μB per cell
Final energy ... -31.785 eV for the cell shown
Formation energy (no corrections) ... -10.1 eV per formula unit

Unit cell a=6.803 b=6.803 c=6.803 alpha=55.80 beta=55.80 gamma=55.80
Fractional positions:
Ti 0.000 0.000 0.000
In 0.500 0.500 0.500
Cl 0.080 0.387 0.772
Cl 0.228 0.920 0.613
Cl 0.387 0.772 0.080
Cl 0.613 0.228 0.920
Cl 0.772 0.080 0.387
Cl 0.920 0.613 0.228